Density functional theory data (PBE-GGA) for an optimized crystal structure of LaDyBeCu.

* total DFT energy (no corrections): -4.3226 eV/atom
* calculated density: 6.95 Mg/m³
* total moment: 0.0 μB/f.u.
* N(E_F): 9.28 states/eV per cell
* energy of formation: 15 meV per atom

Cell lengths 7.0968, 7.0968, 7.0968 Å; angles 90.00, 90.00, 90.00 degrees
Closest atoms and distances in Å follow each position.
Space group F-43m (No. 216)
Asymmetric unit:
La (0.0000, 0.0000, 0.0000) (multiplicity 4)  4 Cu 3.07, 4 Be 3.07
Dy (0.0000, 0.0000, 0.5000) (multiplicity 4)  4 Be 3.07, 4 Cu 3.07
Be (0.2500, 0.2500, 0.2500) (multiplicity 4)  4 La 3.07, 4 Dy 3.07
Cu (0.2500, 0.2500, 0.7500) (multiplicity 4)  4 Dy 3.07, 4 La 3.07